(1)
{
  "formula": "AlTePt4",
  "functional": "SCAN",
  "state": "PBEsol geometry",
  "lattice": [[-3.967, 2.697, 2.195], [-2.436, -1.902, 4.275], [0.673, 2.341, 4.680]],
  "species": ["Pt", "Pt", "Pt", "Pt", "Te", "Al"],
  "fractional_positions": [[0.876, 0.375, 0.375], [0.375, 0.375, 0.375], [0.375, 0.876, 0.375], [0.375, 0.375, 0.876], [0.750, 0.750, 0.750], [0.000, 0.000, 0.000]],
  "raw_formation_energy_ev_per_atom": 0.011
}

(2)
{
  "formula": "AlTePt2",
  "functional": "SCAN",
  "state": "PBEsol geometry",
  "lattice": [[4.615, 0.000, 0.000], [2.307, 3.996, 0.000], [2.307, 1.332, 3.768]],
  "species": ["Pt", "Pt", "Te", "Al"],
  "fractional_positions": [[0.000, 0.000, 0.000], [0.750, 0.750, 0.750], [0.250, 0.250, 0.250], [0.500, 0.500, 0.500]],
  "relative_energy_mev_per_atom": 551.3,
  "raw_formation_energy_ev_per_atom": 0.062
}

(3)
{
  "formula": "AlTePt",
  "functional": "SCAN",
  "state": "PBEsol geometry",
  "lattice": [[-2.016, -2.658, -1.690], [3.562, -0.660, 0.927], [-1.499, -1.738, 4.522]],
  "species": ["Te", "Pt", "Al"],
  "fractional_positions": [[0.333, 0.667, 0.364], [0.667, 0.333, 0.696], [0.000, 0.000, 0.939]],
  "relative_energy_mev_per_atom": 138.0,
  "raw_formation_energy_ev_per_atom": -0.453
}

(4)
{
  "formula": "AlTePt",
  "functional": "SCAN",
  "state": "PBEsol geometry",
  "lattice": [[3.088, 0.000, 0.000], [0.000, 3.088, 0.000], [-1.544, -1.544, 6.678]],
  "species": ["Pt", "Te", "Al"],
  "fractional_positions": [[0.540, 0.540, 0.081], [0.332, 0.332, 0.664], [0.128, 0.128, 0.255]],
  "relative_energy_mev_per_atom": 0.0,
  "raw_formation_energy_ev_per_atom": -0.591
}

(5)
{
  "formula": "AlTePt2",
  "functional": "SCAN",
  "state": "PBEsol geometry",
  "lattice": [[-2.699, 1.912, 2.333], [-2.832, -2.118, 1.969], [1.390, -0.549, 5.568]],
  "species": ["Pt", "Pt", "Al", "Te"],
  "fractional_positions": [[0.943, 0.943, 0.170], [0.725, 0.725, 0.824], [0.327, 0.327, 0.019], [0.504, 0.504, 0.487]],
  "relative_energy_mev_per_atom": 0.0,
  "raw_formation_energy_ev_per_atom": -0.490
}

(6)
{
  "formula": "Ti3AlPt",
  "functional": "SCAN",
  "state": "PBEsol geometry",
  "lattice": [[4.726, 0.000, 0.000], [0.000, 4.726, 0.000], [0.000, 0.000, 4.726]],
  "species": ["Al", "Ti", "Ti", "Ti", "Pt"],
  "fractional_positions": [[0.500, 0.500, 0.500], [0.000, 0.000, 0.500], [0.500, 0.000, 0.000], [0.000, 0.500, 0.000], [0.000, 0.000, 0.000]],
  "delta_e_f_ev_per_atom": 0.142
}

Number 1: Fermi-level density of states 0.42 states/eV per atom, E_tot -325.710 eV for the cell shown. Number 2: Fermi-level density of states 0.92 states/eV per atom, E_tot -185.142 eV for the cell shown. Number 3: Fermi-level density of states 0.49 states/eV per atom, E_tot -116.554 eV for the cell shown. Number 4: Fermi-level density of states 0.32 states/eV per atom, E_tot -116.968 eV for the cell shown. Number 5: Fermi-level density of states 0.50 states/eV per atom, E_tot -187.347 eV for the cell shown. Number 6: Fermi-level density of states 1.11 states/eV per atom, E_tot -125.324 eV for the cell shown.